[1]
VASP calculation (PBE) on a relaxed ScRe2Hg crystal.

POSCAR file:
```
ScRe2Hg
1.0
-4.823 7.754 3.188
-6.785 5.679 3.906
-4.567 6.306 5.738
Hg Re Sc
1 2 1
direct
0.748 0.748 0.748
0.992 0.992 0.992
0.254 0.254 0.254
0.506 0.506 0.506
```

Properties
The calculation puts the volume at 17.87 A^3/atom. The crystal system is trigonal. The space group is R3m.

---

[2]
VASP calculation (PBE) on a relaxed Ir2RuW crystal.

POSCAR file:
```
Ir2RuW
1.0
-3.563 1.557 -0.429
-1.244 -2.000 3.070
1.002 2.933 2.317
Ru Ir W
1 2 1
direct
0.500 0.000 0.000
0.000 0.000 0.500
0.000 0.500 0.000
0.500 0.500 0.500
```

Properties
The calculation puts the volume at 14.64 A^3/atom. The crystal system is tetragonal. The space group is P4/mmm. The value obtained for the energy relative to the lowest polymorph listed for this composition is 0.000 eV per atom.

---

[3]
VASP calculation (PBE) on a relaxed Tb2Pm2Ni15 crystal.

POSCAR file:
```
Tb2Pm2Ni15
1.0
6.512 0.002 0.002
0.847 6.457 0.002
0.847 0.744 6.414
Tb Pm Ni
2 2 15
direct
0.111 0.111 0.111
0.889 0.889 0.889
0.359 0.359 0.359
0.641 0.641 0.641
0.500 0.000 0.000
0.000 0.000 0.500
0.000 0.500 0.000
0.000 0.691 0.309
0.691 0.309 0.000
0.309 0.000 0.691
0.309 0.691 0.000
0.691 0.000 0.309
0.000 0.309 0.691
0.167 0.652 0.652
0.652 0.652 0.167
0.652 0.167 0.652
0.833 0.348 0.348
0.348 0.348 0.833
0.348 0.833 0.348
```

Properties
The calculation puts the volume at 14.19 A^3/atom. The crystal system is trigonal. The space group is R-3m.

---

Asked for electronic total energy across the records above, the calculation gives -30.65, -41.02, -109.43 eV per cell in order.
Asked for formation enthalpy at 0 K across the records above, the calculation gives 0.88, -1.07, -3.95 eV/f.u. in order.